1.
Compound: Gd3Ni2PtPb3
Source: the Open Quantum Materials Database
Functional: PBE
Structure: optimized geometry

Cell lengths 7.514, 7.514, 4.105 Å; angles 90.00, 90.00, 120.00 degrees
Fractional positions:
1 Gd 0.000 0.595 0.000
2 Gd 0.405 0.405 0.000
3 Gd 0.595 0.000 0.000
4 Ni 0.333 0.667 0.500
5 Ni 0.667 0.333 0.500
6 Pt 0.000 0.000 0.000
7 Pb 0.000 0.271 0.500
8 Pb 0.271 0.000 0.500
9 Pb 0.729 0.729 0.500

2.
Compound: Gd3NiPt2Pb3
Source: the Open Quantum Materials Database
Functional: PBE
Structure: optimized geometry

Cell lengths 7.800, 7.800, 3.893 Å; angles 90.00, 90.00, 120.00 degrees
Fractional positions:
1 Gd 0.000 0.594 0.000
2 Gd 0.406 0.406 0.000
3 Gd 0.594 0.000 0.000
4 Ni 0.000 0.000 0.000
5 Pt 0.333 0.667 0.500
6 Pt 0.667 0.333 0.500
7 Pb 0.000 0.252 0.500
8 Pb 0.252 0.000 0.500
9 Pb 0.748 0.748 0.500

3.
Compound: GdScNi2Pb
Source: the Open Quantum Materials Database
Functional: PBE
Structure: optimized geometry

Cell lengths 3.571, 7.353, 7.353 Å; angles 31.02, 90.00, 90.00 degrees
Fractional positions:
1 Gd 0.000 0.000 0.000
2 Sc 0.000 0.283 0.283
3 Ni 0.500 0.436 0.436
4 Ni 0.500 0.836 0.836
5 Pb 0.500 0.646 0.646

4.
Compound: TbGdNi2Pb
Source: the Open Quantum Materials Database
Functional: PBE
Structure: optimized geometry

Cell lengths 3.678, 7.411, 7.411 Å; angles 31.36, 90.00, 90.00 degrees
Fractional positions:
1 Tb 0.000 0.000 0.000
2 Gd 0.000 0.720 0.720
3 Ni 0.500 0.159 0.159
4 Ni 0.500 0.560 0.560
5 Pb 0.500 0.360 0.360

So what do the calculations give for calculated total energy? Going down the list: -5.24; -5.51; -5.64; -5.33 eV per atom.